No. 1
Density functional theory data (SCAN) for a PBEsol-optimized structure of MnHIN2.

Calculated values
DOS(E_F), states/eV per cell: 2.58
Electronic total energy, eV/cell: -67.30

Geometry as POSCAR:
```
MnHIN2
1.0
3.408 0.000 0.000
0.000 4.093 0.000
0.000 0.000 4.093
I H Mn N
1 1 1 2
Cartesian
1.704 0.000 0.000 I
0.000 0.000 0.000 H
1.704 2.047 2.047 Mn
0.000 0.000 2.047 N
0.000 2.047 0.000 N
```

No. 2
Density functional theory data (SCAN) for a PBEsol-optimized structure of MnHI2N.

Calculated values
DOS(E_F), states/eV per cell: 1.62
Electronic total energy, eV/cell: -99.52

Geometry as POSCAR:
```
MnHI2N
1.0
2.921 0.000 0.000
0.000 5.644 0.000
0.000 0.000 5.644
I H Mn N
2 1 1 1
Cartesian
0.000 0.000 2.822 I
0.000 2.822 0.000 I
0.000 0.000 0.000 H
1.461 2.822 2.822 Mn
1.461 0.000 0.000 N
```

No. 3
Density functional theory data (SCAN) for a PBEsol-optimized structure of MnTe2HI.

Calculated values
DOS(E_F), states/eV per cell: 1.00
Electronic total energy, eV/cell: -131.49

Geometry as POSCAR:
```
MnTe2HI
1.0
4.305 0.000 0.000
0.000 4.305 0.000
0.000 0.000 6.589
I H Te Mn
1 1 2 1
Cartesian
0.000 0.000 3.295 I
0.000 0.000 0.000 H
0.000 2.152 0.000 Te
2.152 0.000 0.000 Te
2.152 2.152 3.295 Mn
```

No. 4
Density functional theory data (SCAN) for a PBEsol-optimized structure of MoH3I.

Calculated values
DOS(E_F), states/eV per cell: 1.72
Electronic total energy, eV/cell: -78.00

Geometry as POSCAR:
```
MoH3I
1.0
-1.176 0.348 -3.529
1.739 -3.184 -0.893
-3.091 -1.924 0.840
I H Mo
1 3 1
Cartesian
-1.264 -2.380 -1.791 I
0.870 -1.592 -0.446 H
-1.545 -0.962 0.420 H
-0.588 0.174 -1.765 H
0.000 0.000 0.000 Mo
```

No. 5
Density functional theory data (SCAN) for a PBEsol-optimized structure of Mo2HPdI.

Calculated values
DOS(E_F), states/eV per cell: 6.02
Electronic total energy, eV/cell: -134.00

Geometry as POSCAR:
```
Mo2HPdI
1.0
-3.081 0.339 -0.905
-0.513 -5.025 -0.135
-1.423 0.015 4.848
I H Mo Pd
1 1 2 1
Cartesian
0.000 0.000 0.000 I
-1.540 0.169 -0.453 H
-0.712 0.007 2.424 Mo
-0.256 -2.512 -0.068 Mo
-2.508 -2.336 1.904 Pd
```

No. 6
Density functional theory data (SCAN) for a PBEsol-optimized structure of NaHIN2.

Calculated values
DOS(E_F), states/eV per cell: 1.44
Electronic total energy, eV/cell: -53.58

Geometry as POSCAR:
```
NaHIN2
1.0
4.917 0.000 0.000
0.000 4.917 0.000
0.000 0.000 5.809
I Na H N
1 1 1 2
Cartesian
0.000 0.000 2.905 I
0.000 0.000 0.000 Na
2.459 2.459 2.905 H
0.000 2.459 0.000 N
2.459 0.000 0.000 N
```